A geometry-optimized Ag structure, computed with GGA-PBE.

abc: 2.8826 4.0369 35.6550
angles: 90.00 90.00 90.00
Element x y z (fractional)
Ag (0.2500, 0.2500, 0.0208)
Ag (0.2500, 0.2500, 0.1040)
Ag (0.2500, 0.2500, 0.1879)
Ag (0.2500, 0.2500, 0.2724)
Ag (0.2500, 0.2500, 0.6875)
Ag (0.2500, 0.2500, 0.7705)
Ag (0.2500, 0.2500, 0.8544)
Ag (0.2500, 0.2500, 0.9378)
Ag (0.7500, 0.7500, 0.0622)
Ag (0.7500, 0.7500, 0.1456)
Ag (0.7500, 0.7500, 0.2295)
Ag (0.7500, 0.7500, 0.3125)
Ag (0.7500, 0.7500, 0.7276)
Ag (0.7500, 0.7500, 0.8121)
Ag (0.7500, 0.7500, 0.8960)
Ag (0.7500, 0.7500, 0.9792)

Values from the calculation:
For the distance to the lowest polymorph of the same formula, the calculation gives 87 meV per atom. As for the final energy: -2.738 eV per atom. The space group is No. 59.